# 1
{
  "formula": "KHfAs2Rh",
  "functional": "PBEsol",
  "state": "relaxed",
  "formation_enthalpy_0k_ev_per_atom": 1.653,
  "lattice_angstrom": [[-4.055, -1.406, 0.871], [1.537, -1.619, 4.541], [-1.137, 4.510, 1.992]],
  "species": ["As", "As", "Hf", "Rh", "K"],
  "frac_coords": [[0.000, 0.500, 0.000], [0.000, 0.000, 0.500], [0.500, 0.500, 0.500], [0.500, 0.000, 0.000], [0.000, 0.000, 0.000]]
}



# 2
{
  "formula": "KHfAs2Se",
  "functional": "PBEsol",
  "state": "relaxed",
  "e_form_raw_ev_per_fu": -2.28,
  "lattice_angstrom": [[5.154, 0.000, 0.000], [0.000, 5.154, 0.000], [0.000, 0.000, 5.181]],
  "species": ["As", "As", "K", "Se", "Hf"],
  "frac_coords": [[0.500, 0.000, 0.000], [0.000, 0.500, 0.000], [0.500, 0.500, 0.500], [0.000, 0.000, 0.500], [0.000, 0.000, 0.000]]
}



# 3
{
  "formula": "LaHfTl2As",
  "functional": "PBEsol",
  "state": "relaxed",
  "formation_enthalpy_0k_ev_per_atom": 0.255,
  "lattice_angstrom": [[-0.692, -1.707, 4.691], [3.900, -3.581, -0.728], [3.580, 3.530, 1.813]],
  "species": ["Hf", "Tl", "Tl", "La", "As"],
  "frac_coords": [[0.500, 0.000, 0.000], [0.000, 0.500, 0.000], [0.000, 0.000, 0.500], [0.500, 0.500, 0.500], [0.000, 0.000, 0.000]]
}



# 4
{
  "formula": "Li3HfAs",
  "functional": "PBEsol",
  "state": "relaxed",
  "formation_enthalpy_0k_ev_per_atom": 0.359,
  "lattice_angstrom": [[4.483, 0.000, 0.000], [0.000, 4.483, 0.000], [0.000, 0.000, 4.483]],
  "species": ["Li", "Li", "Li", "As", "Hf"],
  "frac_coords": [[0.000, 0.000, 0.500], [0.000, 0.500, 0.000], [0.500, 0.000, 0.000], [0.000, 0.000, 0.000], [0.500, 0.500, 0.500]]
}



# 5
{
  "formula": "LiHfAs2Se",
  "functional": "PBEsol",
  "state": "relaxed",
  "e_form_raw_ev_per_fu": -1.08,
  "lattice_angstrom": [[-0.409, -4.695, 1.983], [0.558, -2.019, -4.664], [5.068, -0.157, 0.675]],
  "species": ["Hf", "As", "As", "Li", "Se"],
  "frac_coords": [[0.000, 0.000, 0.000], [0.500, 0.000, 0.000], [0.000, 0.500, 0.000], [0.500, 0.500, 0.500], [0.000, 0.000, 0.500]]
}



# 6
{
  "formula": "Hf2MgAsS",
  "functional": "PBEsol",
  "state": "relaxed",
  "e_form_raw_ev_per_fu": -0.73,
  "lattice_angstrom": [[-4.145, 0.693, 1.671], [1.680, -0.537, 4.390], [0.871, 4.644, 0.235]],
  "species": ["Hf", "Hf", "S", "As", "Mg"],
  "frac_coords": [[0.000, 0.000, 0.500], [0.000, 0.500, 0.000], [0.000, 0.000, 0.000], [0.500, 0.500, 0.500], [0.500, 0.000, 0.000]]
}



# 7
{
  "formula": "HfScMn2As",
  "functional": "PBEsol",
  "state": "relaxed",
  "formation_enthalpy_0k_ev_per_atom": 0.409,
  "lattice_angstrom": [[-3.633, 0.281, -2.591], [-1.197, -4.128, 1.231], [-2.492, 1.824, 3.691]],
  "species": ["As", "Mn", "Mn", "Sc", "Hf"],
  "frac_coords": [[0.000, 0.000, 0.000], [0.500, 0.000, 0.000], [0.000, 0.500, 0.000], [0.000, 0.000, 0.500], [0.500, 0.500, 0.500]]
}



# 8
{
  "formula": "Hf9Mo4As",
  "functional": "PBEsol",
  "state": "relaxed",
  "formation_enthalpy_0k_ev_per_atom": -0.265,
  "lattice_angstrom": [[-3.783, 4.658, -6.101], [0.574, -8.497, -0.841], [-7.549, -0.905, 3.989]],
  "species": ["Hf", "Hf", "Hf", "Hf", "Hf", "Hf", "Hf", "Hf", "Hf", "Hf", "Hf", "Hf", "Hf", "Hf", "Hf", "Hf", "Hf", "Hf", "Mo", "Mo", "Mo", "Mo", "Mo", "Mo", "Mo", "Mo", "As", "As"],
  "frac_coords": [[0.804, 0.607, 0.543], [0.196, 0.804, 0.457], [0.393, 0.196, 0.543], [0.539, 0.078, 0.250], [0.393, 0.196, 0.957], [0.804, 0.196, 0.543], [0.804, 0.196, 0.957], [0.196, 0.804, 0.043], [0.078, 0.539, 0.750], [0.196, 0.393, 0.043], [0.607, 0.804, 0.457], [0.461, 0.922, 0.750], [0.804, 0.607, 0.957], [0.607, 0.804, 0.043], [0.461, 0.539, 0.750], [0.539, 0.461, 0.250], [0.196, 0.393, 0.457], [0.922, 0.461, 0.250], [0.219, 0.110, 0.250], [0.781, 0.890, 0.750], [0.000, 0.000, 0.500], [0.890, 0.781, 0.250], [0.890, 0.110, 0.250], [0.110, 0.890, 0.750], [0.110, 0.219, 0.750], [0.000, 0.000, 0.000], [0.333, 0.667, 0.250], [0.667, 0.333, 0.750]]
}



| no. | uncorrected energy (Ry per atom) |
| --- | --- |
| 1 | -0.31928 |
| 2 | -0.41127 |
| 3 | -0.36664 |
| 4 | -0.28982 |
| 5 | -0.40589 |
| 6 | -0.48420 |
| 7 | -0.58348 |
| 8 | -0.78969 |